# 1
# IrAu2Br, optimized geometry, DFT PBE
data_IrAu2Br
_cell_length_a 7.824
_cell_length_b 7.824
_cell_length_c 6.139
_cell_angle_alpha 50.41
_cell_angle_beta 50.41
_cell_angle_gamma 90.00
_space_group_name_H-M_alt 'P 1'
_space_group_IT_number 1
loop_
_space_group_symop_operation_xyz
'x,y,z'
loop_
_atom_site_label
_atom_site_fract_x
_atom_site_fract_y
_atom_site_fract_z
Ir1 0.000 0.000 0.000
Ir2 0.750 0.250 0.500
Au1 0.654 0.125 0.250
Au2 0.096 0.625 0.250
Au3 0.375 0.346 0.750
Au4 0.875 0.904 0.750
Br1 0.500 0.500 0.000
Br2 0.250 0.750 0.500
# space group = I-42d, No. 122
# excess energy over the best structure of this formula in the dataset = 298.3 meV per atom
# crystal system = tetragonal
# uncorrected formation energy = 749.1 meV/atom
# theoretical density = 13584 kg/m3


# 2
# IrAu2Br, optimized geometry, DFT PBE
data_IrAu2Br
_cell_length_a 3.551
_cell_length_b 5.082
_cell_length_c 5.090
_cell_angle_alpha 62.79
_cell_angle_beta 90.00
_cell_angle_gamma 90.00
_space_group_name_H-M_alt 'P 1'
_space_group_IT_number 1
loop_
_space_group_symop_operation_xyz
'x,y,z'
loop_
_atom_site_label
_atom_site_fract_x
_atom_site_fract_y
_atom_site_fract_z
Ir1 0.500 0.750 0.750
Au1 0.000 0.979 0.979
Au2 0.000 0.521 0.521
Br1 0.500 0.250 0.250
# space group = Cmmm, No. 65
# excess energy over the best structure of this formula in the dataset = 177.4 meV per atom
# crystal system = orthorhombic
# uncorrected formation energy = 628.2 meV/atom
# theoretical density = 13540 kg/m3


# 3
# IrAuBr4, optimized geometry, DFT PBE
data_IrAuBr4
_cell_length_a 6.009
_cell_length_b 6.009
_cell_length_c 6.009
_cell_angle_alpha 60.00
_cell_angle_beta 60.00
_cell_angle_gamma 60.00
_space_group_name_H-M_alt 'P 1'
_space_group_IT_number 1
loop_
_space_group_symop_operation_xyz
'x,y,z'
loop_
_atom_site_label
_atom_site_fract_x
_atom_site_fract_y
_atom_site_fract_z
Ir1 0.750 0.750 0.750
Au1 0.000 0.000 0.000
Br1 0.873 0.376 0.376
Br2 0.376 0.376 0.873
Br3 0.376 0.873 0.376
Br4 0.376 0.376 0.376
# space group = F-43m, No. 216
# excess energy over the best structure of this formula in the dataset = 1747.2 meV per atom
# crystal system = cubic
# uncorrected formation energy = 1555.1 meV/atom
# theoretical density = 7672 kg/m3


# 4
# IrAu2Br, optimized geometry, DFT PBE
data_IrAu2Br
_cell_length_a 6.992
_cell_length_b 6.992
_cell_length_c 6.992
_cell_angle_alpha 155.58
_cell_angle_beta 141.51
_cell_angle_gamma 46.12
_space_group_name_H-M_alt 'P 1'
_space_group_IT_number 1
loop_
_space_group_symop_operation_xyz
'x,y,z'
loop_
_atom_site_label
_atom_site_fract_x
_atom_site_fract_y
_atom_site_fract_z
Ir1 0.263 0.763 0.500
Au1 0.085 0.085 0.000
Au2 0.728 0.228 0.500
Br1 0.424 0.424 0.000
# space group = Imm2, No. 44
# excess energy over the best structure of this formula in the dataset = 0.0 meV per atom
# crystal system = orthorhombic
# uncorrected formation energy = 450.8 meV/atom
# theoretical density = 12607 kg/m3


# 5
# IrAuBr, optimized geometry, DFT PBE
data_IrAuBr
_cell_length_a 7.721
_cell_length_b 7.384
_cell_length_c 3.052
_cell_angle_alpha 84.62
_cell_angle_beta 72.20
_cell_angle_gamma 23.18
_space_group_name_H-M_alt 'P 1'
_space_group_IT_number 1
loop_
_space_group_symop_operation_xyz
'x,y,z'
loop_
_atom_site_label
_atom_site_fract_x
_atom_site_fract_y
_atom_site_fract_z
Ir1 0.328 0.328 0.672
Au1 0.989 0.989 0.011
Br1 0.683 0.683 0.317
# space group = Fmm2, No. 42
# excess energy over the best structure of this formula in the dataset = 56.3 meV per atom
# crystal system = orthorhombic
# uncorrected formation energy = 710.5 meV/atom
# theoretical density = 13794 kg/m3


# 6
# IrAu3Br, optimized geometry, DFT PBE
data_IrAu3Br
_cell_length_a 5.079
_cell_length_b 5.079
_cell_length_c 5.079
_cell_angle_alpha 90.00
_cell_angle_beta 90.00
_cell_angle_gamma 90.00
_space_group_name_H-M_alt 'P 1'
_space_group_IT_number 1
loop_
_space_group_symop_operation_xyz
'x,y,z'
loop_
_atom_site_label
_atom_site_fract_x
_atom_site_fract_y
_atom_site_fract_z
Ir1 0.000 0.000 0.000
Au1 0.000 0.500 0.000
Au2 0.000 0.000 0.500
Au3 0.500 0.000 0.000
Br1 0.500 0.500 0.500
# space group = Pm-3m, No. 221
# crystal system = cubic
# uncorrected formation energy = 1035.6 meV/atom
# theoretical density = 10941 kg/m3


# 7
# Ir4AuBr, optimized geometry, DFT PBE
data_Ir4AuBr
_cell_length_a 5.296
_cell_length_b 5.296
_cell_length_c 5.296
_cell_angle_alpha 60.00
_cell_angle_beta 60.00
_cell_angle_gamma 60.00
_space_group_name_H-M_alt 'P 1'
_space_group_IT_number 1
loop_
_space_group_symop_operation_xyz
'x,y,z'
loop_
_atom_site_label
_atom_site_fract_x
_atom_site_fract_y
_atom_site_fract_z
Ir1 0.874 0.375 0.375
Ir2 0.375 0.375 0.874
Ir3 0.375 0.874 0.375
Ir4 0.375 0.375 0.375
Au1 0.750 0.750 0.750
Br1 0.000 0.000 0.000
# space group = F-43m, No. 216
# crystal system = cubic
# uncorrected formation energy = 1087.3 meV/atom
# theoretical density = 16532 kg/m3


# 8
# Ir3AuBr, optimized geometry, DFT PBE
data_Ir3AuBr
_cell_length_a 4.603
_cell_length_b 4.603
_cell_length_c 4.603
_cell_angle_alpha 90.00
_cell_angle_beta 90.00
_cell_angle_gamma 90.00
_space_group_name_H-M_alt 'P 1'
_space_group_IT_number 1
loop_
_space_group_symop_operation_xyz
'x,y,z'
loop_
_atom_site_label
_atom_site_fract_x
_atom_site_fract_y
_atom_site_fract_z
Ir1 0.000 0.500 0.000
Ir2 0.000 0.000 0.500
Ir3 0.500 0.000 0.000
Au1 0.500 0.500 0.500
Br1 0.000 0.000 0.000
# space group = Pm-3m, No. 221
# excess energy over the best structure of this formula in the dataset = 0.0 meV per atom
# crystal system = cubic
# uncorrected formation energy = 1858.0 meV/atom
# theoretical density = 14533 kg/m3


# 9
# IrAu2Br, optimized geometry, DFT PBE
data_IrAu2Br
_cell_length_a 4.735
_cell_length_b 4.735
_cell_length_c 4.735
_cell_angle_alpha 60.00
_cell_angle_beta 60.00
_cell_angle_gamma 60.00
_space_group_name_H-M_alt 'P 1'
_space_group_IT_number 1
loop_
_space_group_symop_operation_xyz
'x,y,z'
loop_
_atom_site_label
_atom_site_fract_x
_atom_site_fract_y
_atom_site_fract_z
Ir1 0.500 0.500 0.500
Au1 0.250 0.250 0.250
Au2 0.750 0.750 0.750
Br1 0.000 0.000 0.000
# space group = Fm-3m, No. 225
# excess energy over the best structure of this formula in the dataset = 502.2 meV per atom
# crystal system = cubic
# uncorrected formation energy = 953.0 meV/atom
# theoretical density = 14733 kg/m3


# 10
# IrAu2Br, optimized geometry, DFT PBE
data_IrAu2Br
_cell_length_a 9.265
_cell_length_b 9.265
_cell_length_c 9.265
_cell_angle_alpha 19.25
_cell_angle_beta 19.25
_cell_angle_gamma 19.25
_space_group_name_H-M_alt 'P 1'
_space_group_IT_number 1
loop_
_space_group_symop_operation_xyz
'x,y,z'
loop_
_atom_site_label
_atom_site_fract_x
_atom_site_fract_y
_atom_site_fract_z
Ir1 0.750 0.750 0.750
Au1 0.006 0.006 0.006
Au2 0.257 0.257 0.257
Br1 0.487 0.487 0.487
# space group = R3m, No. 160
# excess energy over the best structure of this formula in the dataset = 92.5 meV per atom
# crystal system = trigonal
# uncorrected formation energy = 543.3 meV/atom
# theoretical density = 14643 kg/m3


# 11
# IrAu2Br, optimized geometry, DFT PBE
data_IrAu2Br
_cell_length_a 2.986
_cell_length_b 4.734
_cell_length_c 5.183
_cell_angle_alpha 90.00
_cell_angle_beta 90.00
_cell_angle_gamma 90.00
_space_group_name_H-M_alt 'P 1'
_space_group_IT_number 1
loop_
_space_group_symop_operation_xyz
'x,y,z'
loop_
_atom_site_label
_atom_site_fract_x
_atom_site_fract_y
_atom_site_fract_z
Ir1 0.000 0.500 0.500
Au1 0.000 0.000 0.000
Au2 0.500 0.500 0.000
Br1 0.500 0.000 0.500
# space group = Pmmm, No. 47
# excess energy over the best structure of this formula in the dataset = 291.0 meV per atom
# crystal system = orthorhombic
# uncorrected formation energy = 741.8 meV/atom
# theoretical density = 15097 kg/m3


# 12
# IrAu2Br, optimized geometry, DFT PBE
data_IrAu2Br
_cell_length_a 3.016
_cell_length_b 3.016
_cell_length_c 9.966
_cell_angle_alpha 90.00
_cell_angle_beta 90.00
_cell_angle_gamma 122.79
_space_group_name_H-M_alt 'P 1'
_space_group_IT_number 1
loop_
_space_group_symop_operation_xyz
'x,y,z'
loop_
_atom_site_label
_atom_site_fract_x
_atom_site_fract_y
_atom_site_fract_z
Ir1 0.500 0.500 0.749
Au1 0.000 0.000 0.983
Au2 0.500 0.500 0.231
Br1 0.000 0.000 0.538
# space group = Cmm2, No. 35
# excess energy over the best structure of this formula in the dataset = 80.5 meV per atom
# crystal system = orthorhombic
# uncorrected formation energy = 531.4 meV/atom
# theoretical density = 14511 kg/m3


# 13
# IrAuBr4, optimized geometry, DFT PBE
data_IrAuBr4
_cell_length_a 6.507
_cell_length_b 7.148
_cell_length_c 9.752
_cell_angle_alpha 68.50
_cell_angle_beta 90.37
_cell_angle_gamma 91.01
_space_group_name_H-M_alt 'P 1'
_space_group_IT_number 1
loop_
_space_group_symop_operation_xyz
'x,y,z'
loop_
_atom_site_label
_atom_site_fract_x
_atom_site_fract_y
_atom_site_fract_z
Ir1 0.750 0.051 0.399
Ir2 0.250 0.949 0.601
Au1 0.250 0.353 0.795
Au2 0.750 0.647 0.205
Br1 0.415 0.047 0.801
Br2 0.085 0.652 0.801
Br3 0.432 0.240 0.407
Br4 0.568 0.760 0.593
Br5 0.932 0.147 0.593
Br6 0.915 0.348 0.199
Br7 0.068 0.853 0.407
Br8 0.585 0.953 0.199
# space group = C2/c, No. 15
# excess energy over the best structure of this formula in the dataset = 0.0 meV per atom
# crystal system = monoclinic
# uncorrected formation energy = -192.1 meV/atom
# theoretical density = 5578 kg/m3